# Li5Mg4Pd | Alexandria via LeMat-Bulk | PBE | relaxed
# formation energy from the elements = -1.3 eV per formula unit
# V = 396 Å³/cell
# polymorph energy (0 for the lowest one) = 6.2 kJ per mole of atoms
data_Li5Mg4Pd
_symmetry_space_group_name_H-M 'C 1 2/m 1'
_symmetry_Int_Tables_number 12
_cell_length_a 15.176
_cell_length_b 3.089
_cell_length_c 9.674
_cell_angle_alpha 90.00
_cell_angle_beta 119.29
_cell_angle_gamma 90.00
loop_
_symmetry_equiv_pos_as_xyz
'x,y,z'
'-x,-y,-z'
'-x,y,-z'
'x,-y,z'
'x+1/2,y+1/2,z'
'-x+1/2,-y+1/2,-z'
'-x+1/2,y+1/2,-z'
'x+1/2,-y+1/2,z'
loop_
_atom_site_label
_atom_site_type_symbol
_atom_site_fract_x
_atom_site_fract_y
_atom_site_fract_z
Li1 Li 0.000 0.000 0.000
Li2 Li 0.155 0.500 0.593
Li3 Li 0.217 0.500 0.114
Mg1 Mg 0.057 0.500 0.768
Mg2 Mg 0.145 0.000 0.338
Pd1 Pd 0.000 0.000 0.500

---

# PuTl2Pb2O6 | Alexandria via LeMat-Bulk | PBE | relaxed
# energy relative to the elements, uncorrected = -1499 meV per atom
# V = 457 Å³/cell
data_PuTl2Pb2O6
_symmetry_space_group_name_H-M 'C 1 2/m 1'
_symmetry_Int_Tables_number 12
_cell_length_a 6.666
_cell_length_b 10.564
_cell_length_c 6.698
_cell_angle_alpha 90.00
_cell_angle_beta 104.20
_cell_angle_gamma 90.00
loop_
_symmetry_equiv_pos_as_xyz
'x,y,z'
'-x,-y,-z'
'-x,y,-z'
'x,-y,z'
'x+1/2,y+1/2,z'
'-x+1/2,-y+1/2,-z'
'-x+1/2,y+1/2,-z'
'x+1/2,-y+1/2,z'
loop_
_atom_site_label
_atom_site_type_symbol
_atom_site_fract_x
_atom_site_fract_y
_atom_site_fract_z
Pu1 Pu 0.000 0.000 0.000
Tl1 Tl 0.000 0.175 0.500
Pb1 Pb 0.000 0.330 0.000
O1 O 0.170 0.000 0.791
O2 O 0.186 0.151 0.163

---

# LiSb2Br | Alexandria via LeMat-Bulk | PBE | relaxed
# energy relative to the elements, uncorrected = -11 meV per atom
# V = 101 Å³/cell
# polymorph energy (0 for the lowest one) = 65.4 kJ per mole of atoms
data_LiSb2Br
_symmetry_space_group_name_H-M 'P 4/m m m'
_symmetry_Int_Tables_number 123
_symmetry_space_group_name_Hall '-P 4 2'
_cell_length_a 5.578
_cell_length_b 5.578
_cell_length_c 3.240
_cell_angle_alpha 90.00
_cell_angle_beta 90.00
_cell_angle_gamma 90.00
loop_
_atom_site_label
_atom_site_type_symbol
_atom_site_fract_x
_atom_site_fract_y
_atom_site_fract_z
Li1 Li 0.000 0.000 0.000
Sb1 Sb 0.000 0.500 0.500
Br1 Br 0.500 0.500 0.000

---

# Ta2CrIr | Alexandria via LeMat-Bulk | PBE | relaxed
# formation energy from the elements = -0.5 eV per formula unit
# V = 252 Å³/cell
data_Ta2CrIr
_symmetry_space_group_name_H-M 'F -4 3 m'
_symmetry_Int_Tables_number 216
_symmetry_space_group_name_Hall 'F -4 2 3'
_cell_length_a 6.315
_cell_length_b 6.315
_cell_length_c 6.315
_cell_angle_alpha 90.00
_cell_angle_beta 90.00
_cell_angle_gamma 90.00
loop_
_atom_site_label
_atom_site_type_symbol
_atom_site_fract_x
_atom_site_fract_y
_atom_site_fract_z
Ta1 Ta 0.000 0.000 0.000
Ta2 Ta 0.250 0.250 0.250
Cr1 Cr 0.000 0.000 0.500
Ir1 Ir 0.250 0.250 0.750

---

# MgRe2Os | Alexandria via LeMat-Bulk | PBE | relaxed
# formation energy from the elements = 3.3 eV per formula unit
# V = 288 Å³/cell
data_MgRe2Os
_symmetry_space_group_name_H-M 'I -4 2 d'
_symmetry_Int_Tables_number 122
_symmetry_space_group_name_Hall 'I -4 2bw'
_cell_length_a 7.513
_cell_length_b 7.513
_cell_length_c 5.104
_cell_angle_alpha 90.00
_cell_angle_beta 90.00
_cell_angle_gamma 90.00
loop_
_atom_site_label
_atom_site_type_symbol
_atom_site_fract_x
_atom_site_fract_y
_atom_site_fract_z
Mg1 Mg 0.000 0.000 0.000
Re1 Re 0.194 0.250 0.625
Os1 Os 0.000 0.000 0.500

---

# TiTeC3 | Alexandria via LeMat-Bulk | PBE | relaxed
# energy relative to the elements, uncorrected = 1989 meV per atom
# V = 71 Å³/cell
# polymorph energy (0 for the lowest one) = 0.0 kJ per mole of atoms
data_TiTeC3
_symmetry_space_group_name_H-M 'P m -3 m'
_symmetry_Int_Tables_number 221
_symmetry_space_group_name_Hall '-P 4 2 3'
_cell_length_a 4.136
_cell_length_b 4.136
_cell_length_c 4.136
_cell_angle_alpha 90.00
_cell_angle_beta 90.00
_cell_angle_gamma 90.00
loop_
_atom_site_label
_atom_site_type_symbol
_atom_site_fract_x
_atom_site_fract_y
_atom_site_fract_z
Ti1 Ti 0.000 0.000 0.000
Te1 Te 0.500 0.500 0.500
C1 C 0.000 0.000 0.500

---

# KPrBi2 | Alexandria via LeMat-Bulk | PBE | relaxed
# formation energy from the elements = -2.3 eV per formula unit
# V = 146 Å³/cell
# polymorph energy (0 for the lowest one) = 0.0 kJ per mole of atoms
data_KPrBi2
_symmetry_space_group_name_H-M 'P 4/m m m'
_symmetry_Int_Tables_number 123
_symmetry_space_group_name_Hall '-P 4 2'
_cell_length_a 4.335
_cell_length_b 4.335
_cell_length_c 7.790
_cell_angle_alpha 90.00
_cell_angle_beta 90.00
_cell_angle_gamma 90.00
loop_
_atom_site_label
_atom_site_type_symbol
_atom_site_fract_x
_atom_site_fract_y
_atom_site_fract_z
K1 K 0.000 0.000 0.000
Pr1 Pr 0.000 0.000 0.500
Bi1 Bi 0.500 0.500 0.297

---

# Zr2TlCu | Alexandria via LeMat-Bulk | PBE | relaxed
# formation energy from the elements = 0.9 eV per formula unit
# V = 346 Å³/cell
data_Zr2TlCu
_symmetry_space_group_name_H-M 'I -4 2 d'
_symmetry_Int_Tables_number 122
_symmetry_space_group_name_Hall 'I -4 2bw'
_cell_length_a 7.722
_cell_length_b 7.722
_cell_length_c 5.808
_cell_angle_alpha 90.00
_cell_angle_beta 90.00
_cell_angle_gamma 90.00
loop_
_atom_site_label
_atom_site_type_symbol
_atom_site_fract_x
_atom_site_fract_y
_atom_site_fract_z
Zr1 Zr 0.218 0.250 0.125
Tl1 Tl 0.000 0.000 0.500
Cu1 Cu 0.000 0.000 0.000

---

# BeRuW2 | Alexandria via LeMat-Bulk | PBE | relaxed
# formation energy from the elements = 0.7 eV per formula unit
# V = 112 Å³/cell
# polymorph energy (0 for the lowest one) = 13.4 kJ per mole of atoms
data_BeRuW2
_symmetry_space_group_name_H-M 'I m m 2'
_symmetry_Int_Tables_number 44
_cell_length_a 3.039
_cell_length_b 4.378
_cell_length_c 8.431
_cell_angle_alpha 90.00
_cell_angle_beta 90.00
_cell_angle_gamma 90.00
loop_
_symmetry_equiv_pos_as_xyz
'x,y,z'
'-x,-y,z'
'-x,y,z'
'x,-y,z'
'x+1/2,y+1/2,z+1/2'
'-x+1/2,-y+1/2,z+1/2'
'-x+1/2,y+1/2,z+1/2'
'x+1/2,-y+1/2,z+1/2'
loop_
_atom_site_label
_atom_site_type_symbol
_atom_site_fract_x
_atom_site_fract_y
_atom_site_fract_z
Be1 Be 0.000 0.000 0.000
Ru1 Ru 0.000 0.500 0.731
W1 W 0.000 0.000 0.489
W2 W 0.000 0.500 0.245

---

# Sm2Sc3Si4 | Alexandria via LeMat-Bulk | PBE | relaxed
# energy relative to the elements, uncorrected = -823 meV per atom
# V = 755 Å³/cell
data_Sm2Sc3Si4
_symmetry_space_group_name_H-M 'P n m a'
_symmetry_Int_Tables_number 62
_cell_length_a 7.166
_cell_length_b 14.113
_cell_length_c 7.464
_cell_angle_alpha 90.00
_cell_angle_beta 90.00
_cell_angle_gamma 90.00
loop_
_symmetry_equiv_pos_as_xyz
'x,y,z'
'-x,-y,-z'
'-x+1/2,-y,z+1/2'
'x+1/2,y,-z+1/2'
'x+1/2,-y+1/2,-z+1/2'
'-x+1/2,y+1/2,z+1/2'
'-x,y+1/2,-z'
'x,-y+1/2,z'
loop_
_atom_site_label
_atom_site_type_symbol
_atom_site_fract_x
_atom_site_fract_y
_atom_site_fract_z
Sm1 Sm 0.012 0.097 0.174
Sc1 Sc 0.162 0.750 0.502
Sc2 Sc 0.171 0.125 0.677
Si1 Si 0.034 0.750 0.120
Si2 Si 0.154 0.539 0.464
Si3 Si 0.214 0.250 0.378

---

# LaNi2Br | Alexandria via LeMat-Bulk | PBE | relaxed
# energy relative to the elements, uncorrected = -318 meV per atom
# V = 82 Å³/cell
# polymorph energy (0 for the lowest one) = 15.5 kJ per mole of atoms
data_LaNi2Br
_symmetry_space_group_name_H-M 'P m m m'
_symmetry_Int_Tables_number 47
_cell_length_a 3.771
_cell_length_b 4.181
_cell_length_c 5.206
_cell_angle_alpha 90.00
_cell_angle_beta 90.00
_cell_angle_gamma 90.00
loop_
_symmetry_equiv_pos_as_xyz
'x,y,z'
'-x,-y,-z'
'-x,-y,z'
'x,y,-z'
'x,-y,-z'
'-x,y,z'
'-x,y,-z'
'x,-y,z'
loop_
_atom_site_label
_atom_site_type_symbol
_atom_site_fract_x
_atom_site_fract_y
_atom_site_fract_z
La1 La 0.000 0.000 0.000
Ni1 Ni 0.500 0.500 0.226
Br1 Br 0.500 0.000 0.500

---

# Ho3U2Mn4 | Alexandria via LeMat-Bulk | PBE | relaxed
# formation energy from the elements = -0.5 eV per formula unit
# V = 355 Å³/cell
data_Ho3U2Mn4
_symmetry_space_group_name_H-M 'C 1 2/m 1'
_symmetry_Int_Tables_number 12
_cell_length_a 10.828
_cell_length_b 4.000
_cell_length_c 8.431
_cell_angle_alpha 90.00
_cell_angle_beta 103.56
_cell_angle_gamma 90.00
loop_
_symmetry_equiv_pos_as_xyz
'x,y,z'
'-x,-y,-z'
'-x,y,-z'
'x,-y,z'
'x+1/2,y+1/2,z'
'-x+1/2,-y+1/2,-z'
'-x+1/2,y+1/2,-z'
'x+1/2,-y+1/2,z'
loop_
_atom_site_label
_atom_site_type_symbol
_atom_site_fract_x
_atom_site_fract_y
_atom_site_fract_z
Ho1 Ho 0.000 0.000 0.000
Ho2 Ho 0.125 0.500 0.379
U1 U 0.175 0.500 0.775
Mn1 Mn 0.090 0.000 0.642
Mn2 Mn 0.238 0.500 0.093

---

Question: V of number 11 (LaNi2Br)?
Answer: 82 Å³/cell

---

Question: V of number 10 (Sm2Sc3Si4)?
Answer: 755 Å³/cell